*w*
Density functional theory data (PBE) for a relaxed HRuSeBr2 crystal.

The structure in POSCAR format:
```
HRuSeBr2
1.0
5.276 0.000 0.000
0.000 5.276 0.000
0.000 0.000 4.622
H Ru Se Br
1 1 1 2
direct
0.000 0.000 0.000
0.500 0.500 0.500
0.500 0.500 0.000
0.000 0.500 0.500
0.500 0.000 0.500
```

* volume: 25.7 A^3/atom
* M_tot: 1.6 μB/f.u.
* space-group type: P4/mmm (123)

*x*
Density functional theory data (PBE) for a relaxed HRuSeBr2 crystal.

The structure in POSCAR format:
```
HRuSeBr2
1.0
5.253 0.000 0.000
0.000 5.253 0.000
0.000 0.000 3.454
H Ru Se Br
1 1 1 2
direct
0.000 0.000 0.000
0.500 0.500 0.500
0.000 0.000 0.500
0.000 0.500 0.000
0.500 0.000 0.000
```

* volume: 19.1 A^3/atom
* M_tot: 3.1 μB/f.u.
* space-group type: P4/mmm (123)

Which one sits at the top of the stability order? *w* does.

*w*
Density functional theory data (PBE) for a relaxed HRuSe2Br crystal.

The structure in POSCAR format:
```
HRuSe2Br
1.0
3.881 0.000 0.000
0.000 3.881 0.000
0.000 0.000 6.675
H Ru Se Br
1 1 2 1
direct
0.000 0.000 0.000
0.500 0.500 0.500
0.000 0.500 0.000
0.500 0.000 0.000
0.000 0.000 0.500
```

* volume: 20.1 A^3/atom
* M_tot: 2.9 μB/f.u.
* space-group type: P4/mmm (123)

*x*
Density functional theory data (PBE) for a relaxed HRuSe2Br crystal.

The structure in POSCAR format:
```
HRuSe2Br
1.0
4.758 0.000 0.000
0.000 4.758 0.000
0.000 0.000 5.466
H Ru Se Br
1 1 2 1
direct
0.000 0.000 0.000
0.500 0.500 0.500
0.000 0.500 0.500
0.500 0.000 0.500
0.500 0.500 0.000
```

* volume: 24.7 A^3/atom
* M_tot: 0.3 μB/f.u.
* space-group type: P4/mmm (123)

Which one sits at the top of the stability order? *x* does.

*w*
Density functional theory data (PBE) for a relaxed HS2Br crystal.

The structure in POSCAR format:
```
HS2Br
1.0
1.405 0.811 11.001
-1.405 0.811 11.001
0.000 -1.622 11.001
H S Br
1 2 1
direct
0.000 0.000 0.000
0.050 0.050 0.050
0.950 0.950 0.950
0.500 0.500 0.500
```

* volume: 18.8 A^3/atom
* M_tot: 0.0 μB/f.u.
* space-group type: R-3m (166)

*x*
Density functional theory data (PBE) for a relaxed HS2Br crystal.

The structure in POSCAR format:
```
HS2Br
1.0
0.000 3.209 3.209
3.209 0.000 3.209
3.209 3.209 0.000
H S Br
1 2 1
direct
0.000 0.000 0.000
0.250 0.250 0.250
0.750 0.750 0.750
0.500 0.500 0.500
```

* volume: 16.5 A^3/atom
* M_tot: 0.0 μB/f.u.
* space-group type: Fm-3m (225)

Which one sits at the top of the stability order? *w* does.

*w*
Density functional theory data (PBE) for a relaxed HS2Br crystal.

The structure in POSCAR format:
```
HS2Br
1.0
1.744 1.007 6.732
-1.744 1.007 6.732
0.000 -2.014 6.732
H S Br
1 2 1
direct
0.000 0.000 0.000
0.380 0.380 0.380
0.620 0.620 0.620
0.500 0.500 0.500
```

* volume: 17.7 A^3/atom
* M_tot: 0.0 μB/f.u.
* space-group type: R-3m (166)

*x*
Density functional theory data (PBE) for a relaxed HS2Br crystal.

The structure in POSCAR format:
```
HS2Br
1.0
-2.340 2.340 6.510
2.340 -2.340 6.510
2.340 2.340 -6.510
H S Br
2 4 2
direct
0.375 0.625 0.750
0.625 0.375 0.250
0.000 0.500 0.500
0.500 0.000 0.000
0.500 0.500 0.000
0.500 0.500 0.500
0.125 0.875 0.250
0.875 0.125 0.750
```

* volume: 17.8 A^3/atom
* M_tot: 0.0 μB/f.u.
* space-group type: I4_1/amd (141)

*y*
Density functional theory data (PBE) for a relaxed HS2Br crystal.

The structure in POSCAR format:
```
HS2Br
1.0
2.910 -7.032 0.000
2.910 7.032 0.000
0.000 0.000 5.256
H S Br
2 4 2
direct
0.091 0.091 0.000
0.909 0.909 0.500
0.018 0.790 0.413
0.210 0.982 0.087
0.790 0.018 0.587
0.982 0.210 0.913
0.387 0.613 0.750
0.613 0.387 0.250
```

* volume: 26.9 A^3/atom
* M_tot: 0.0 μB/f.u.
* space-group type: C222_1 (20)

Which one sits at the top of the stability order? *y* does.

*w*
Density functional theory data (PBE) for a relaxed HSBr crystal.

The structure in POSCAR format:
```
HSBr
1.0
2.404 0.000 0.000
0.016 6.076 0.000
0.397 2.838 10.067
H S Br
2 2 2
direct
0.000 0.000 0.000
0.174 0.902 0.993
0.539 0.573 0.774
0.634 0.329 0.221
0.562 0.152 0.646
0.612 0.789 0.348
```

* volume: 24.5 A^3/atom
* M_tot: 0.0 μB/f.u.
* space-group type: P1 (1)

*x*
Density functional theory data (PBE) for a relaxed HSBr crystal.

The structure in POSCAR format:
```
HSBr
1.0
4.790 0.000 0.000
0.000 17.885 0.000
-2.391 0.000 4.255
H S Br
4 4 4
direct
0.172 0.131 0.349
0.172 0.369 0.849
0.828 0.631 0.151
0.828 0.869 0.651
0.148 0.642 0.321
0.148 0.858 0.821
0.852 0.142 0.179
0.852 0.358 0.679
0.178 0.605 0.786
0.178 0.895 0.286
0.822 0.105 0.714
0.822 0.395 0.214
```

* volume: 30.4 A^3/atom
* M_tot: 0.0 μB/f.u.
* space-group type: P2_1/c (14)

Which one sits at the top of the stability order? *x* does.

*w*
Density functional theory data (PBE) for a relaxed HSe2SBr crystal.

The structure in POSCAR format:
```
HSe2SBr
1.0
4.912 0.000 0.000
0.000 4.912 0.000
0.000 0.000 5.251
H Se S Br
1 2 1 1
direct
0.000 0.000 0.000
0.000 0.500 0.500
0.500 0.000 0.500
0.500 0.500 0.500
0.500 0.500 0.000
```

* volume: 25.3 A^3/atom
* M_tot: 0.4 μB/f.u.
* space-group type: P4/mmm (123)

*x*
Density functional theory data (PBE) for a relaxed HSe2SBr crystal.

The structure in POSCAR format:
```
HSe2SBr
1.0
3.850 0.000 0.000
0.000 3.850 0.000
0.000 0.000 8.275
H Se S Br
1 2 1 1
direct
0.000 0.000 0.000
0.000 0.500 0.000
0.500 0.000 0.000
0.500 0.500 0.500
0.000 0.000 0.500
```

* volume: 24.5 A^3/atom
* M_tot: 0.0 μB/f.u.
* space-group type: P4/mmm (123)

Which one sits at the top of the stability order? *x* does.